1.
Crystalline LiCd3Ga3 at its relaxed geometry. Source: Alexandria via LeMat-Bulk, functional PBE-GGA.

Cell: 7.613 7.613 7.613 Å, 90.00 90.00 90.00°
Atoms (fractional coordinates):
Li: 0.000 0.000 0.000
Li: 0.500 0.500 0.500
Cd: 0.000 0.250 0.500
Cd: 0.000 0.750 0.500
Cd: 0.250 0.500 0.000
Cd: 0.500 0.000 0.250
Cd: 0.500 0.000 0.750
Cd: 0.750 0.500 0.000
Ga: 0.000 0.500 0.250
Ga: 0.000 0.500 0.750
Ga: 0.250 0.000 0.500
Ga: 0.500 0.250 0.000
Ga: 0.500 0.750 0.000
Ga: 0.750 0.000 0.500

Computed properties:
Its calculated formation energy is 0.341 eV/atom. Its crystal system is cubic.

***

2.
Crystalline PrNd2Rh at its relaxed geometry. Source: Alexandria via LeMat-Bulk, functional PBE-GGA.

Cell: 10.935 10.935 10.935 Å, 20.11 20.11 20.11°
Atoms (fractional coordinates):
Pr: 0.000 0.000 0.000
Nd: 0.112 0.112 0.112
Nd: 0.888 0.888 0.888
Rh: 0.500 0.500 0.500

Computed properties:
Its calculated formation energy is -0.120 eV/atom. Its crystal system is trigonal.

***

3.
Crystalline H2PtO at its relaxed geometry. Source: Alexandria via LeMat-Bulk, functional PBE-GGA.

Cell: 4.444 4.444 4.444 Å, 60.00 60.00 60.00°
Atoms (fractional coordinates):
H: 0.000 0.000 0.000
H: 0.000 0.000 0.500
H: 0.000 0.500 0.000
H: 0.500 0.000 0.000
Pt: 0.375 0.375 0.375
Pt: 0.625 0.625 0.625
O: 0.125 0.125 0.125
O: 0.875 0.875 0.875

Computed properties:
Its raw total energy is -4.27 eV/atom. Its crystal system is cubic.

***

4.
Crystalline Cs2BeIBr6 at its relaxed geometry. Source: Alexandria via LeMat-Bulk, functional PBE-GGA.

Cell: 8.200 8.200 8.200 Å, 120.37 120.37 89.36°
Atoms (fractional coordinates):
Cs: 0.250 0.750 0.500
Cs: 0.750 0.250 0.500
Be: 0.000 0.000 0.000
I: 0.500 0.500 0.000
Br: 0.200 0.200 0.400
Br: 0.200 0.800 0.000
Br: 0.269 0.269 0.000
Br: 0.731 0.731 0.000
Br: 0.800 0.200 0.000
Br: 0.800 0.800 0.600

Computed properties:
The formation energy without anion corrections is -0.896 eV per atom. Its crystal system is tetragonal.